Run P
VASP calculation (meta-GGA SCAN) on a crystal of CsIrBr2 relaxed with PBEsol.

```
4
Lattice="2.104 1.215 8.727 -2.104 1.215 8.727 0.000 -2.429 8.727" Properties=species:S:1:pos:R:3 pbc="T T T"
Cs 0.000 0.000 0.000
Ir 0.000 0.000 13.091
Br 0.000 0.000 3.338
Br 0.000 0.000 22.843
```

=====

Run Q
VASP calculation (meta-GGA SCAN) on a crystal of CsIrBr2 relaxed with PBEsol.

```
8
Lattice="-3.175 3.175 7.132 3.175 -3.175 7.132 3.175 3.175 -7.132" Properties=species:S:1:pos:R:3 pbc="T T T"
Cs 0.000 0.000 0.000
Cs 0.000 3.175 3.566
Ir 3.175 0.000 3.566
Ir 0.000 0.000 7.132
Br 1.588 -0.636 5.349
Br 2.539 1.588 1.783
Br 1.588 3.811 -1.783
Br 0.636 1.588 8.915
```

=====

run Q ends up most stable, edging out the next structure by 33.7 kJ/mol of atoms.

=====

Run P
VASP calculation (meta-GGA SCAN) on a crystal of Cs2BrN2 relaxed with PBEsol.

```
10
Lattice="8.462 0.000 0.000 0.000 8.462 0.000 0.000 0.000 4.000" Properties=species:S:1:pos:R:3 pbc="T T T"
Cs 1.899 2.332 0.000
Cs 2.332 6.563 0.000
Cs 6.130 1.899 0.000
Cs 6.563 6.130 0.000
Br 0.000 0.000 2.000
Br 4.231 4.231 2.000
N 0.417 4.648 2.000
N 3.814 0.417 2.000
N 4.648 8.045 2.000
N 8.045 3.814 2.000
```

=====

Run Q
VASP calculation (meta-GGA SCAN) on a crystal of Cs2BrN2 relaxed with PBEsol.

```
5
Lattice="-2.881 2.881 4.427 2.881 -2.881 4.427 2.881 2.881 -4.427" Properties=species:S:1:pos:R:3 pbc="T T T"
Cs 2.881 0.000 2.214
Cs 0.000 2.881 2.214
Br 0.000 0.000 0.000
N 0.000 0.000 3.836
N 0.000 0.000 5.019
```

=====

run P ends up most stable, edging out the next structure by 2.2 kJ/mol of atoms.

=====

Run P
VASP calculation (meta-GGA SCAN) on a crystal of CsSrSe2Br relaxed with PBEsol.

```
5
Lattice="5.864 0.000 0.000 0.000 5.864 0.000 0.000 0.000 5.931" Properties=species:S:1:pos:R:3 pbc="T T T"
Cs 0.000 0.000 0.000
Sr 2.932 2.932 2.966
Se 0.000 2.932 2.966
Se 2.932 0.000 2.966
Br 2.932 2.932 0.000
```

=====

Run Q
VASP calculation (meta-GGA SCAN) on a crystal of CsSrSe2Br relaxed with PBEsol.

```
5
Lattice="5.678 0.000 0.000 0.000 5.678 0.000 0.000 0.000 6.167" Properties=species:S:1:pos:R:3 pbc="T T T"
Cs 0.000 0.000 0.000
Sr 2.839 2.839 3.083
Se 0.000 2.839 0.000
Se 2.839 0.000 0.000
Br 0.000 0.000 3.083
```

=====

run P ends up most stable, edging out the next structure by 72.3 kJ/mol of atoms.

=====

Run P
VASP calculation (meta-GGA SCAN) on a crystal of FeCu2Br relaxed with PBEsol.

```
4
Lattice="1.479 0.854 7.779 -1.479 0.854 7.779 0.000 -1.708 7.779" Properties=species:S:1:pos:R:3 pbc="T T T"
Fe 0.000 0.000 0.000
Cu 0.000 0.000 5.957
Cu 0.000 0.000 17.380
Br 0.000 0.000 11.668
```

=====

Run Q
VASP calculation (meta-GGA SCAN) on a crystal of FeCu2Br relaxed with PBEsol.

```
4
Lattice="-1.493 2.081 4.506 1.493 -2.081 4.506 1.493 2.081 -4.506" Properties=species:S:1:pos:R:3 pbc="T T T"
Fe 0.000 0.000 0.000
Cu 1.493 0.000 2.205
Cu 0.000 2.081 2.301
Br 0.000 0.000 4.506
```

=====

run P ends up most stable, edging out the next structure by 10.4 kJ/mol of atoms.

=====

Run P
VASP calculation (meta-GGA SCAN) on a crystal of CuHgBr2 relaxed with PBEsol.

```
4
Lattice="3.804 0.000 0.000 0.000 3.954 0.000 0.000 0.000 6.498" Properties=species:S:1:pos:R:3 pbc="T T T"
Cu 0.000 0.000 0.000
Hg 0.000 1.977 3.249
Br 1.902 0.000 3.249
Br 1.902 1.977 0.000
```

=====

Run Q
VASP calculation (meta-GGA SCAN) on a crystal of CuHgBr2 relaxed with PBEsol.

```
4
Lattice="3.575 0.000 0.000 0.000 3.575 0.000 0.000 0.000 7.849" Properties=species:S:1:pos:R:3 pbc="T T T"
Cu 0.000 0.000 0.000
Hg 1.787 1.787 4.062
Br 0.000 0.000 2.328
Br 1.787 1.787 7.112
```

=====

run Q ends up most stable, edging out the next structure by 10.6 kJ/mol of atoms.

=====

Run P
VASP calculation (meta-GGA SCAN) on a crystal of La2CuBr relaxed with PBEsol.

```
4
Lattice="4.198 0.000 0.000 0.000 4.198 0.000 0.000 0.000 6.094" Properties=species:S:1:pos:R:3 pbc="T T T"
La 0.000 0.000 0.000
La 2.099 2.099 3.047
Cu 0.000 0.000 3.047
Br 2.099 2.099 0.000
```

=====

Run Q
VASP calculation (meta-GGA SCAN) on a crystal of La2CuBr relaxed with PBEsol.

```
4
Lattice="2.119 1.223 7.057 -2.119 1.223 7.057 0.000 -2.447 7.057" Properties=species:S:1:pos:R:3 pbc="T T T"
La 0.000 0.000 5.182
La 0.000 0.000 15.988
Cu 0.000 0.000 10.585
Br 0.000 0.000 0.000
```

=====

run P ends up most stable, edging out the next structure by 2.3 kJ/mol of atoms.

=====

Run P
VASP calculation (meta-GGA SCAN) on a crystal of LiCuBr2 relaxed with PBEsol.

```
8
Lattice="-2.841 2.841 5.687 2.841 -2.841 5.687 2.841 2.841 -5.687" Properties=species:S:1:pos:R:3 pbc="T T T"
Li 0.000 0.000 0.000
Li 0.000 2.841 2.844
Cu 2.841 0.000 2.844
Cu 0.000 0.000 5.687
Br 1.421 -1.349 4.266
Br 1.493 1.421 1.422
Br 1.421 4.190 -1.422
Br 1.349 1.421 7.109
```

=====

Run Q
VASP calculation (meta-GGA SCAN) on a crystal of LiCuBr2 relaxed with PBEsol.

```
4
Lattice="1.977 1.142 7.255 -1.977 1.142 7.255 0.000 -2.283 7.255" Properties=species:S:1:pos:R:3 pbc="T T T"
Li 0.000 0.000 0.000
Cu 0.000 0.000 10.883
Br 0.000 0.000 8.666
Br 0.000 0.000 13.099
```

=====

Run R
VASP calculation (meta-GGA SCAN) on a crystal of LiCuBr2 relaxed with PBEsol.

```
4
Lattice="-1.787 1.788 7.056 1.787 -1.788 7.056 1.787 1.788 -7.056" Properties=species:S:1:pos:R:3 pbc="T T T"
Li 0.000 0.000 0.000
Cu 0.000 1.788 3.484
Br 1.787 0.000 3.465
Br 0.000 0.000 6.994
```

=====

run P ends up most stable, edging out the next structure by 7.5 kJ/mol of atoms.

=====

Run P
VASP calculation (meta-GGA SCAN) on a crystal of MnCuBr2 relaxed with PBEsol.

```
4
Lattice="3.626 0.000 0.000 0.000 3.678 0.000 0.000 0.000 5.949" Properties=species:S:1:pos:R:3 pbc="T T T"
Mn 0.000 0.000 0.000
Cu 0.000 1.839 2.974
Br 1.813 0.000 2.974
Br 1.813 1.839 0.000
```

=====

Run Q
VASP calculation (meta-GGA SCAN) on a crystal of MnCuBr2 relaxed with PBEsol.

```
4
Lattice="-1.770 3.010 3.769 1.770 -3.010 3.769 1.770 3.010 -3.769" Properties=species:S:1:pos:R:3 pbc="T T T"
Mn 0.000 0.000 0.000
Cu 0.000 0.000 3.769
Br 1.770 0.000 1.946
Br 0.000 3.010 1.823
```

=====

run Q ends up most stable, edging out the next structure by 0.6 kJ/mol of atoms.